Entry 1:
# Dy3Ho2Sc4 (PBE, optimized geometry)
data_Dy3Ho2Sc4
_cell_length_a 15.928
_cell_length_b 11.083
_cell_length_c 5.786
_cell_angle_alpha 90.00
_cell_angle_beta 96.90
_cell_angle_gamma 90.00
_symmetry_space_group_name_H-M 'C 1 2/c 1'
_symmetry_Int_Tables_number 15
loop_
_symmetry_equiv_pos_as_xyz
'x,y,z'
'-x,-y,-z'
'-x,y,-z+1/2'
'x,-y,z+1/2'
'x+1/2,y+1/2,z'
'-x+1/2,-y+1/2,-z'
'-x+1/2,y+1/2,-z+1/2'
'x+1/2,-y+1/2,z+1/2'
loop_
_atom_site_label
_atom_site_type_symbol
_atom_site_fract_x
_atom_site_fract_y
_atom_site_fract_z
_atom_site_occupancy
Dy1 Dy 0.000 0.109 0.250 1
Dy2 Dy 0.162 0.398 0.110 1
Ho1 Ho 0.126 0.135 0.810 1
Sc1 Sc 0.045 0.367 0.525 1
Sc2 Sc 0.225 0.139 0.345 1
# V, Å³/atom: 28.16
# Density, g/cm3: 6.533
# DOS(E_F), states/eV/cell: 59.24
# Formation enthalpy at 0 K, kJ/mol of atoms: 11.2

---

Entry 2:
# Dy3HoSc7 (PBE, optimized geometry)
data_Dy3HoSc7
_cell_length_a 12.006
_cell_length_b 10.441
_cell_length_c 5.445
_cell_angle_alpha 90.00
_cell_angle_beta 116.89
_cell_angle_gamma 90.00
_symmetry_space_group_name_H-M 'C 1 2/m 1'
_symmetry_Int_Tables_number 12
loop_
_symmetry_equiv_pos_as_xyz
'x,y,z'
'-x,-y,-z'
'-x,y,-z'
'x,-y,z'
'x+1/2,y+1/2,z'
'-x+1/2,-y+1/2,-z'
'-x+1/2,y+1/2,-z'
'x+1/2,-y+1/2,z'
loop_
_atom_site_label
_atom_site_type_symbol
_atom_site_fract_x
_atom_site_fract_y
_atom_site_fract_z
_atom_site_occupancy
Dy1 Dy 0.000 0.000 0.000 1
Dy2 Dy 0.000 0.212 0.500 1
Ho1 Ho 0.000 0.500 0.000 1
Sc1 Sc 0.000 0.500 0.500 1
Sc2 Sc 0.207 0.000 0.707 1
Sc3 Sc 0.215 0.192 0.215 1
# V, Å³/atom: 27.67
# Density, g/cm3: 5.276
# DOS(E_F), states/eV/cell: 33.01
# Formation enthalpy at 0 K, kJ/mol of atoms: 29.0

---

Entry 3:
# Dy2Ho3Sc7 (PBE, optimized geometry)
data_Dy2Ho3Sc7
_cell_length_a 3.513
_cell_length_b 5.263
_cell_length_c 18.909
_cell_angle_alpha 90.00
_cell_angle_beta 95.33
_cell_angle_gamma 90.00
_symmetry_space_group_name_H-M 'P 1 2/m 1'
_symmetry_Int_Tables_number 10
loop_
_symmetry_equiv_pos_as_xyz
'x,y,z'
'-x,-y,-z'
'-x,y,-z'
'x,-y,z'
loop_
_atom_site_label
_atom_site_type_symbol
_atom_site_fract_x
_atom_site_fract_y
_atom_site_fract_z
_atom_site_occupancy
Dy1 Dy 0.137 0.000 0.273 1
Ho1 Ho 0.000 0.000 0.000 1
Ho2 Ho 0.327 0.500 0.654 1
Sc1 Sc 0.081 0.500 0.162 1
Sc2 Sc 0.216 0.000 0.433 1
Sc3 Sc 0.433 0.000 0.866 1
Sc4 Sc 0.500 0.500 0.000 1
# V, Å³/atom: 29.01
# Density, g/cm3: 5.411
# DOS(E_F), states/eV/cell: 20.48
# Energy relative to the lowest polymorph listed for this composition, kJ per mole of atoms: 15.4
# Formation enthalpy at 0 K, kJ/mol of atoms: 25.2